DFT (GGA-PBE) results for an optimized crystal structure of ZrBi2PW.

abc: 5.5743 5.5743 4.9520
angles: 90.00 90.00 90.00
With the nearest neighbours (Å) after each atom.
Space group P4/mmm (No. 123)
Symmetry-distinct sites (fractional):
Zr (0.0000, 0.0000, 0.0000) [1 per cell]  2 W 2.48
Bi (0.0000, 0.5000, 0.0000) [2 per cell]  2 Zr 2.79
P (0.5000, 0.5000, 0.5000) [1 per cell]  8 Bi 3.73, 4 W 3.94
W (0.0000, 0.0000, 0.5000) [1 per cell]  2 Zr 2.48

Summary:
- Formation enthalpy at 0 K: 8.186 eV per formula unit
- V: 153.9 Å³/cell